1.
DFT (PBE) results for an optimized crystal structure of Ti2Co2S.

## Properties
Its size of the total moment is 0.000 μB per formula unit. Its energy relative to the elements, uncorrected is 0.0529 eV per atom. Its density of states at the Fermi level is 1.030 states/eV per cell. As for the calculated density: 5.32 g cm⁻³. Its polymorph energy (0 for the lowest one) is 0.365 eV per atom.

Structure (extended XYZ):
```
5
Lattice="-2.098 3.425 0.300 -2.264 -1.111 -3.140 -5.218 -0.961 1.520" Properties=species:S:1:pos:R:3 pbc="T T T"
Ti -4.832 -0.458 -1.520
Ti -4.748 1.811 0.200
Co -2.898 0.657 -0.726
Co -6.682 0.696 -0.594
S 0.000 0.000 0.000
```

2.
DFT (PBE) results for an optimized crystal structure of TiCoS3.

## Properties
Its size of the total moment is 1.021 μB per formula unit. Its energy relative to the elements, uncorrected is -0.7074 eV per atom. Its density of states at the Fermi level is 11.669 states/eV per cell. As for the calculated density: 4.37 g cm⁻³. Its polymorph energy (0 for the lowest one) is 0.000 eV per atom.

Structure (extended XYZ):
```
20
Lattice="-0.584 -3.198 -1.057 5.339 1.011 -6.008 8.163 -3.683 6.635" Properties=species:S:1:pos:R:3 pbc="T T T"
Co 7.807 -2.074 -0.802
Co 4.216 -1.683 -5.528
Co 8.701 -4.187 5.098
Co 5.111 -3.796 0.372
Ti 7.732 -1.052 -3.854
Ti 9.218 -4.928 1.527
Ti 5.186 -4.819 3.424
Ti 3.700 -0.942 -1.957
S 7.996 -3.294 -2.741
S 5.943 -0.215 -5.398
S 11.293 -3.741 2.316
S 7.336 -4.109 0.088
S 4.856 -2.469 -3.504
S 4.922 -2.576 2.311
S 6.975 -5.655 4.968
S 2.919 -3.305 0.095
S 5.582 -1.761 -0.518
S 9.999 -2.566 -0.525
S 8.062 -3.401 3.074
S 1.625 -2.130 -2.746
```

3.
DFT (PBE) results for an optimized crystal structure of Ti4CoS8.

## Properties
Its size of the total moment is 1.292 μB per formula unit. Its energy relative to the elements, uncorrected is -1.2132 eV per atom. Its density of states at the Fermi level is 4.006 states/eV per cell. As for the calculated density: 3.75 g cm⁻³.

Structure (extended XYZ):
```
13
Lattice="-1.695 -3.366 -5.401 -2.173 -6.170 0.768 -7.410 -2.738 -1.818" Properties=species:S:1:pos:R:3 pbc="T T T"
Co 0.000 0.000 0.000
S -6.146 -10.070 -5.052
S -2.260 -2.572 -3.253
S -5.132 -2.205 -1.399
S -2.504 -4.003 -0.104
S -8.774 -8.272 -6.348
S -9.018 -9.703 -3.198
S -4.228 -5.236 -2.707
S -7.050 -7.039 -3.745
Ti -2.904 -7.088 -3.446
Ti -5.754 -6.815 -1.734
Ti -5.524 -5.459 -4.717
Ti -8.374 -5.187 -3.005
```

What did the second record say?
DFT (PBE) results for an optimized crystal structure of TiCoS3.

## Properties
Its size of the total moment is 1.021 μB per formula unit. Its energy relative to the elements, uncorrected is -0.7074 eV per atom. Its density of states at the Fermi level is 11.669 states/eV per cell. As for the calculated density: 4.37 g cm⁻³. Its polymorph energy (0 for the lowest one) is 0.000 eV per atom.

Structure (extended XYZ):
```
20
Lattice="-0.584 -3.198 -1.057 5.339 1.011 -6.008 8.163 -3.683 6.635" Properties=species:S:1:pos:R:3 pbc="T T T"
Co 7.807 -2.074 -0.802
Co 4.216 -1.683 -5.528
Co 8.701 -4.187 5.098
Co 5.111 -3.796 0.372
Ti 7.732 -1.052 -3.854
Ti 9.218 -4.928 1.527
Ti 5.186 -4.819 3.424
Ti 3.700 -0.942 -1.957
S 7.996 -3.294 -2.741
S 5.943 -0.215 -5.398
S 11.293 -3.741 2.316
S 7.336 -4.109 0.088
S 4.856 -2.469 -3.504
S 4.922 -2.576 2.311
S 6.975 -5.655 4.968
S 2.919 -3.305 0.095
S 5.582 -1.761 -0.518
S 9.999 -2.566 -0.525
S 8.062 -3.401 3.074
S 1.625 -2.130 -2.746
```

> What is the size of the total moment in the first record?

0.000 μB per formula unit

> What is the size of the total moment in the third record?

1.292 μB per formula unit